La4Pm2Pr2Ho (PBE, optimized geometry); calculated formation energy = 0.0171 eV per atom
1.0
5.228 0.000 0.000
-2.614 7.844 0.020
0.000 -2.662 7.799
La Pm Pr Ho
4 2 2 1
Cartesian
2.614 2.581 5.219
0.000 2.600 2.599
2.614 -0.028 2.593
0.000 5.209 5.226
2.614 5.219 2.594
0.000 -0.038 5.225
0.000 2.584 7.808
2.614 2.597 0.010
0.000 0.000 0.000